Record 1
Entry from Alexandria via LeMat-Bulk: an optimized crystal structure of Na4CoIr3Se8 (PBE).

Geometry as POSCAR:
```
Na4CoIr3Se8
1.0
3.805 2.197 6.604
-3.805 2.197 6.604
0.000 -4.394 6.604
Na Co Ir Se
4 1 3 8
Direct
0.000 0.000 0.000
0.000 0.500 0.500
0.500 0.000 0.500
0.500 0.500 0.000
0.500 0.500 0.500
0.000 0.000 0.500
0.000 0.500 0.000
0.500 0.000 0.000
0.229 0.229 0.229
0.237 0.723 0.723
0.277 0.277 0.763
0.277 0.763 0.277
0.723 0.237 0.723
0.723 0.723 0.237
0.763 0.277 0.277
0.771 0.771 0.771
```

Summary:
Raw formation energy: -0.567 eV per atom
DOS at the Fermi energy: 0.0701 states/eV per atom
Calculated density: 6.813 g cm⁻³
Uncorrected energy: -4.74 eV/atom
M_tot: 0.0 Bohr magnetons per cell

Record 2
Entry from Alexandria via LeMat-Bulk: an optimized crystal structure of NaTa2CoIr (PBE).

Geometry as POSCAR:
```
NaTa2CoIr
1.0
4.521 0.000 0.000
0.000 4.521 0.000
0.000 0.000 4.479
Na Ta Co Ir
1 2 1 1
Direct
0.000 0.000 0.000
0.000 0.500 0.500
0.500 0.000 0.500
0.000 0.000 0.500
0.500 0.500 0.000
```

Summary:
ΔH_f (0 K): 1.0690 eV/atom
DOS at the Fermi energy: 1.0270 states/eV per atom
Calculated density: 11.537 g cm⁻³
Uncorrected energy: -7.13 eV/atom
M_tot: 0.0 Bohr magnetons per cell

Record 3
Entry from Alexandria via LeMat-Bulk: an optimized crystal structure of NaTi2CoIr (PBE).

Geometry as POSCAR:
```
NaTi2CoIr
1.0
4.755 0.000 0.000
0.000 4.755 0.000
0.000 0.000 4.786
Na Ti Co Ir
1 2 1 1
Direct
0.000 0.000 0.000
0.000 0.500 0.500
0.500 0.000 0.500
0.500 0.500 0.000
0.500 0.500 0.500
```

Summary:
ΔH_f (0 K): 0.5159 eV/atom
DOS at the Fermi energy: 1.0581 states/eV per atom
Calculated density: 5.676 g cm⁻³
Uncorrected energy: -6.10 eV/atom
M_tot: 0.7 Bohr magnetons per cell

Record 4
Entry from Alexandria via LeMat-Bulk: an optimized crystal structure of NbCo4Ir2 (PBE).

Geometry as POSCAR:
```
NbCo4Ir2
1.0
4.349 0.000 0.000
0.000 4.349 0.000
0.000 0.000 12.341
Nb Co Ir
2 8 4
Direct
0.000 0.000 0.000
0.500 0.500 0.500
0.000 0.000 0.202
0.000 0.000 0.798
0.000 0.500 0.000
0.000 0.500 0.500
0.500 0.000 0.000
0.500 0.000 0.500
0.500 0.500 0.298
0.500 0.500 0.702
0.000 0.000 0.392
0.000 0.000 0.608
0.500 0.500 0.108
0.500 0.500 0.892
```

Summary:
ΔH_f (0 K): 1.1693 eV/atom
DOS at the Fermi energy: 1.6970 states/eV per atom
Calculated density: 10.147 g cm⁻³
Uncorrected energy: -6.86 eV/atom
M_tot: 9.3 Bohr magnetons per cell

Record 5
Entry from Alexandria via LeMat-Bulk: an optimized crystal structure of Nb2CoIr (PBE).

Geometry as POSCAR:
```
Nb2CoIr
1.0
3.112 0.000 0.000
-1.556 2.695 0.000
0.000 0.000 23.067
Nb Co Ir
6 3 3
Direct
0.000 0.000 0.243
0.000 0.000 0.757
0.333 0.667 0.424
0.333 0.667 0.909
0.667 0.333 0.091
0.667 0.333 0.576
0.000 0.000 0.500
0.333 0.667 0.167
0.667 0.333 0.833
0.000 0.000 0.000
0.333 0.667 0.667
0.667 0.333 0.333
```

Summary:
ΔH_f (0 K): 0.1300 eV/atom
DOS at the Fermi energy: 1.0749 states/eV per atom
Calculated density: 11.254 g cm⁻³
Uncorrected energy: -8.90 eV/atom
M_tot: 0.0 Bohr magnetons per cell

Record 6
Entry from Alexandria via LeMat-Bulk: an optimized crystal structure of NbCo2Ir2 (PBE).

Geometry as POSCAR:
```
NbCo2Ir2
1.0
7.092 0.000 0.000
0.000 7.092 0.000
0.000 0.000 2.737
Nb Co Ir
2 4 4
Direct
0.000 0.000 0.000
0.500 0.500 0.000
0.120 0.380 0.000
0.380 0.880 0.000
0.620 0.120 0.000
0.880 0.620 0.000
0.175 0.675 0.500
0.325 0.175 0.500
0.675 0.825 0.500
0.825 0.325 0.500
```

Summary:
Energy relative to the lowest polymorph listed for this composition: 0.000 eV per atom
ΔH_f (0 K): -0.1160 eV/atom
DOS at the Fermi energy: 1.3684 states/eV per atom
Calculated density: 14.362 g cm⁻³
Uncorrected energy: -8.52 eV/atom
M_tot: 3.1 Bohr magnetons per cell